1.
The following is a DFT calculation (PBE) of NaCa2Y after structural relaxation.

Cell lengths 4.151, 4.151, 8.602 Å; angles 90.00, 90.00, 90.00 degrees
Fractional positions:
Na (0.000, 0.000, 0.000)
Ca (0.500, 0.500, 0.255)
Ca (0.500, 0.500, 0.745)
Y (0.000, 0.000, 0.500)

## Properties
Space-group type = No. 123
Total DFT energy (no corrections) = -2.83 eV/atom
Energy of formation from the pure elements = 0.12 eV per atom
Density of states at the Fermi level = 3.11 states/eV/f.u.

=====

2.
The following is a DFT calculation (PBE) of NaCaY after structural relaxation.

Cell lengths 6.839, 6.839, 9.018 Å; angles 93.73, 93.73, 31.70 degrees
Fractional positions:
Na (0.217, 0.217, 0.158)
Na (0.783, 0.783, 0.842)
Ca (0.045, 0.045, 0.788)
Ca (0.955, 0.955, 0.212)
Y (0.364, 0.364, 0.527)
Y (0.636, 0.636, 0.473)

## Properties
Space-group type = No. 12
Total DFT energy (no corrections) = -3.08 eV/atom
Energy of formation from the pure elements = 0.18 eV per atom
Density of states at the Fermi level = 4.16 states/eV/f.u.

=====

3.
The following is a DFT calculation (PBE) of NaCa3Y after structural relaxation.

Cell lengths 6.365, 6.365, 6.365 Å; angles 90.00, 90.00, 90.00 degrees
Fractional positions:
Na (0.000, 0.000, 0.000)
Ca (0.000, 0.500, 0.500)
Ca (0.500, 0.000, 0.500)
Ca (0.500, 0.500, 0.000)
Y (0.500, 0.500, 0.500)

## Properties
Space-group type = No. 221
Total DFT energy (no corrections) = -2.05 eV/atom
Energy of formation from the pure elements = 0.71 eV per atom
Density of states at the Fermi level = 5.02 states/eV/f.u.

=====

4.
The following is a DFT calculation (PBE) of NaCa2Y after structural relaxation.

Cell lengths 5.970, 5.970, 5.970 Å; angles 60.00, 60.00, 60.00 degrees
Fractional positions:
Na (0.000, 0.000, 0.000)
Ca (0.250, 0.250, 0.250)
Ca (0.750, 0.750, 0.750)
Y (0.500, 0.500, 0.500)

## Properties
Space-group type = No. 225
Total DFT energy (no corrections) = -2.70 eV/atom
Energy of formation from the pure elements = 0.25 eV per atom
Density of states at the Fermi level = 4.00 states/eV/f.u.

=====

5.
The following is a DFT calculation (PBE) of NaCa3Y after structural relaxation.

Cell lengths 5.909, 5.909, 5.909 Å; angles 90.00, 90.00, 90.00 degrees
Fractional positions:
Na (0.000, 0.000, 0.000)
Ca (0.000, 0.000, 0.500)
Ca (0.000, 0.500, 0.000)
Ca (0.500, 0.000, 0.000)
Y (0.500, 0.500, 0.500)

## Properties
Space-group type = No. 221
Total DFT energy (no corrections) = -2.22 eV/atom
Energy of formation from the pure elements = 0.54 eV per atom
Density of states at the Fermi level = 9.11 states/eV/f.u.

=====

6.
The following is a DFT calculation (PBE) of NaCa2Y after structural relaxation.

Cell lengths 12.504, 12.504, 12.504 Å; angles 17.38, 17.38, 17.38 degrees
Fractional positions:
Na (0.000, 0.000, 0.000)
Ca (0.420, 0.420, 0.420)
Ca (0.580, 0.580, 0.580)
Y (0.167, 0.167, 0.167)

## Properties
Space-group type = No. 160
Total DFT energy (no corrections) = -2.86 eV/atom
Energy of formation from the pure elements = 0.09 eV per atom
Density of states at the Fermi level = 4.29 states/eV/f.u.

=====

7.
The following is a DFT calculation (PBE) of NaCaY after structural relaxation.

Cell lengths 3.679, 3.679, 9.307 Å; angles 90.00, 90.00, 120.00 degrees
Fractional positions:
Na (0.000, 0.000, 0.000)
Ca (0.333, 0.667, 0.651)
Y (0.667, 0.333, 0.330)

## Properties
Space-group type = No. 156
Total DFT energy (no corrections) = -3.10 eV/atom
Energy of formation from the pure elements = 0.16 eV per atom
Density of states at the Fermi level = 3.99 states/eV/f.u.

=====

8.
The following is a DFT calculation (PBE) of NaCa2Y after structural relaxation.

Cell lengths 12.606, 12.606, 12.606 Å; angles 17.13, 17.13, 17.13 degrees
Fractional positions:
Na (0.000, 0.000, 0.000)
Ca (0.247, 0.247, 0.247)
Ca (0.753, 0.753, 0.753)
Y (0.500, 0.500, 0.500)

## Properties
Space-group type = No. 166
Total DFT energy (no corrections) = -2.85 eV/atom
Energy of formation from the pure elements = 0.10 eV per atom
Density of states at the Fermi level = 5.61 states/eV/f.u.

=====

9.
The following is a DFT calculation (PBE) of NaCaY after structural relaxation.

Cell lengths 8.751, 8.751, 8.751 Å; angles 156.22, 156.22, 33.88 degrees
Fractional positions:
Na (0.000, 0.000, 0.000)
Ca (0.676, 0.676, 0.000)
Y (0.337, 0.337, 0.000)

## Properties
Space-group type = No. 107
Total DFT energy (no corrections) = -3.08 eV/atom
Energy of formation from the pure elements = 0.18 eV per atom
Density of states at the Fermi level = 3.34 states/eV/f.u.

=====

10.
The following is a DFT calculation (PBE) of NaCa2Y after structural relaxation.

Cell lengths 7.380, 7.380, 7.380 Å; angles 103.68, 103.68, 121.80 degrees
Fractional positions:
Na (0.000, 0.000, 0.000)
Na (0.750, 0.250, 0.500)
Ca (0.096, 0.125, 0.471)
Ca (0.375, 0.904, 0.029)
Ca (0.654, 0.625, 0.529)
Ca (0.875, 0.346, 0.971)
Y (0.250, 0.750, 0.500)
Y (0.500, 0.500, 0.000)

## Properties
Space-group type = No. 122
Total DFT energy (no corrections) = -2.55 eV/atom
Energy of formation from the pure elements = 0.40 eV per atom
Density of states at the Fermi level = 7.43 states/eV/f.u.

=====

11.
The following is a DFT calculation (PBE) of NaCaZn2 after structural relaxation.

Cell lengths 5.155, 5.155, 5.155 Å; angles 60.00, 60.00, 60.00 degrees
Fractional positions:
Na (0.000, 0.000, 0.000)
Ca (0.500, 0.500, 0.500)
Zn (0.250, 0.250, 0.250)
Zn (0.750, 0.750, 0.750)

## Properties
Space-group type = No. 225
Total DFT energy (no corrections) = -1.50 eV/atom
Energy of formation from the pure elements = -0.03 eV per atom
Density of states at the Fermi level = 3.94 states/eV/f.u.

=====

12.
The following is a DFT calculation (PBE) of NaCa2Zn2 after structural relaxation.

Cell lengths 8.871, 8.871, 3.559 Å; angles 90.00, 90.00, 90.00 degrees
Fractional positions:
Na (0.000, 0.000, 0.000)
Na (0.500, 0.500, 0.000)
Ca (0.141, 0.359, 0.000)
Ca (0.359, 0.859, 0.000)
Ca (0.641, 0.141, 0.000)
Ca (0.859, 0.641, 0.000)
Zn (0.152, 0.652, 0.500)
Zn (0.348, 0.152, 0.500)
Zn (0.652, 0.848, 0.500)
Zn (0.848, 0.348, 0.500)

## Properties
Space-group type = No. 127
Total DFT energy (no corrections) = -1.61 eV/atom
Energy of formation from the pure elements = -0.04 eV per atom
Density of states at the Fermi level = 3.41 states/eV/f.u.